Compound: Ac2ZnNiO6
Source: the Alexandria database
Functional: PBE+U
Structure: optimized geometry

Properties
The total energy comes out at -6.34 eV per atom. For the total moment, the calculation gives 0.000 μB/atom. The value obtained for the density of states at the Fermi level is 0.01 states/eV/f.u. The symmetry is No. 225.

Geometry as POSCAR:
```
Ac2ZnNiO6
1.0
0.000 3.941 3.941
3.941 0.000 3.941
3.941 3.941 0.000
Ac Zn Ni O
2 1 1 6
Direct
0.250 0.250 0.250
0.750 0.750 0.750
0.000 0.000 0.000
0.500 0.500 0.500
0.260 0.260 0.740
0.260 0.740 0.260
0.260 0.740 0.740
0.740 0.260 0.260
0.740 0.260 0.740
0.740 0.740 0.260
```